*one*
AgRu2: relaxed, GGA-PBE.

Fermi-level density of states = 6.12 states/eV/cell

abc: 5.213 5.213 6.804
angles: 76.09 76.09 30.63
Sites, in units of the cell vectors:
Ag (0.637, 0.637, 0.971)
Ag (0.363, 0.363, 0.029)
Ru (0.311, 0.311, 0.622)
Ru (0.029, 0.029, 0.670)
Ru (0.689, 0.689, 0.378)
Ru (0.971, 0.971, 0.330)



*two*
AgRu2: relaxed, GGA-PBE.

Fermi-level density of states = 18.38 states/eV/cell

abc: 5.162 5.162 8.308
angles: 90.00 90.00 120.00
Site moments in Bohr magnetons follow the coordinates.
Sites, in units of the cell vectors:
Ru (0.000, 0.000, 0.500)  0.21
Ru (0.174, 0.826, 0.750)  0.32
Ru (0.174, 0.349, 0.750)  0.32
Ru (0.651, 0.826, 0.750)  0.32
Ru (0.826, 0.174, 0.250)  0.32
Ru (0.349, 0.174, 0.250)  0.32
Ru (0.826, 0.651, 0.250)  0.32
Ru (0.000, 0.000, 0.000)  0.21
Ag (0.333, 0.667, 0.428)  0.02
Ag (0.667, 0.333, 0.928)  0.02
Ag (0.667, 0.333, 0.572)  0.02
Ag (0.333, 0.667, 0.072)  0.02



Which structure is most stable, and how do the rest compare? From most to least stable: *one*, *two*.



*one*
Ag5Ru: relaxed, GGA-PBE.

Fermi-level density of states = 6.30 states/eV/cell

abc: 5.387 5.387 5.387
angles: 60.00 60.00 60.00
Site moments in Bohr magnetons follow the coordinates.
Sites, in units of the cell vectors:
Ag (0.375, 0.875, 0.375)  0.01
Ag (0.875, 0.375, 0.375)  0.01
Ag (0.375, 0.375, 0.875)  0.01
Ag (0.750, 0.750, 0.750)  0.01
Ag (0.375, 0.375, 0.375)  0.01
Ru (0.000, 0.000, 0.000)  1.85



*two*
Ag5Ru: relaxed, GGA-PBE.

Fermi-level density of states = 6.19 states/eV/cell

abc: 5.330 5.330 4.765
angles: 90.00 90.00 120.00
Site moments in Bohr magnetons follow the coordinates.
Sites, in units of the cell vectors:
Ag (0.500, 0.000, 0.500)  0.00
Ag (0.667, 0.333, 0.000)  0.01
Ag (0.500, 0.500, 0.500)  0.00
Ag (0.333, 0.667, 0.000)  0.01
Ag (0.000, 0.500, 0.500)  0.00
Ru (0.000, 0.000, 0.000)  2.24



Which structure is most stable, and how do the rest compare? From most to least stable: *one*, *two*.



*one*
AgRu5: relaxed, GGA-PBE.

Fermi-level density of states = 6.73 states/eV/cell

abc: 7.314 7.314 4.385
angles: 90.00 90.00 158.27
Site moments in Bohr magnetons follow the coordinates.
Sites, in units of the cell vectors:
Ag (0.999, 0.001, 0.000)  0.02
Ru (0.887, 0.113, 0.500)  0.03
Ru (0.222, 0.778, 0.500)  -0.02
Ru (0.560, 0.440, 0.500)  0.48
Ru (0.326, 0.674, 0.000)  0.01
Ru (0.673, 0.327, 0.000)  0.07



*two*
AgRu5: relaxed, GGA-PBE.

Fermi-level density of states = 7.71 states/eV/cell

abc: 5.225 5.225 6.462
angles: 76.23 76.23 30.51
Sites, in units of the cell vectors:
Ru (0.944, 0.944, 0.605)
Ru (0.274, 0.274, 0.935)
Ru (0.328, 0.328, 0.343)
Ru (0.673, 0.673, 0.660)
Ru (0.617, 0.617, 0.288)
Ag (0.998, 0.998, 0.003)



Which structure is most stable, and how do the rest compare? From most to least stable: *two*, *one*.



*one*
AgRu5: relaxed, GGA-PBE.

Fermi-level density of states = 10.37 states/eV/cell

abc: 5.073 5.073 5.073
angles: 60.00 60.00 60.00
Sites, in units of the cell vectors:
Ru (0.375, 0.375, 0.375)
Ru (0.375, 0.874, 0.375)
Ru (0.874, 0.375, 0.375)
Ru (0.375, 0.375, 0.874)
Ru (0.750, 0.750, 0.750)
Ag (0.000, 0.000, 0.000)



*two*
AgRu5: relaxed, GGA-PBE.

Fermi-level density of states = 9.82 states/eV/cell

abc: 5.061 5.061 4.436
angles: 90.00 90.00 120.00
Site moments in Bohr magnetons follow the coordinates.
Sites, in units of the cell vectors:
Ag (0.000, 0.000, 0.000)  0.04
Ru (0.000, 0.500, 0.500)  0.74
Ru (0.333, 0.667, 0.000)  0.56
Ru (0.500, 0.500, 0.500)  0.74
Ru (0.667, 0.333, 0.000)  0.56
Ru (0.500, 0.000, 0.500)  0.74



Which structure is most stable, and how do the rest compare? From most to least stable: *one*, *two*.



*one*
AgRu4: relaxed, GGA-PBE.

Fermi-level density of states = 6.73 states/eV/cell

abc: 4.758 4.758 4.758
angles: 99.45 99.45 132.20
Sites, in units of the cell vectors:
Ru (0.194, 0.411, 0.605)
Ru (0.589, 0.194, 0.783)
Ru (0.411, 0.806, 0.217)
Ru (0.806, 0.589, 0.395)
Ag (0.000, 0.000, 0.000)



*two*
AgRu4: relaxed, GGA-PBE.

Fermi-level density of states = 8.65 states/eV/cell

abc: 4.738 4.738 4.738
angles: 90.00 90.00 90.00
Site moments in Bohr magnetons follow the coordinates.
Sites, in units of the cell vectors:
Ru (0.500, 0.000, 0.500)  1.69
Ru (0.000, 0.500, 0.500)  1.69
Ru (0.000, 0.000, 0.000)  2.37
Ru (0.500, 0.500, 0.000)  1.69
Ag (0.500, 0.500, 0.500)  0.13



Which structure is most stable, and how do the rest compare? From most to least stable: *one*, *two*.



*one*
AgRu3S: relaxed, GGA-PBE.

Fermi-level density of states = 6.59 states/eV/cell

abc: 4.893 4.893 4.893
angles: 90.00 90.00 90.00
Site moments in Bohr magnetons follow the coordinates.
Sites, in units of the cell vectors:
Ru (0.000, 0.000, 0.500)  2.87
Ru (0.500, 0.000, 0.000)  1.92
Ru (0.000, 0.500, 0.000)  2.47
S (0.500, 0.500, 0.500)  0.20
Ag (0.000, 0.000, 0.000)  0.20



*two*
AgRu3S: relaxed, GGA-PBE.

Fermi-level density of states = 5.32 states/eV/cell

abc: 4.349 4.349 4.349
angles: 90.00 90.00 90.00
Site moments in Bohr magnetons follow the coordinates.
Sites, in units of the cell vectors:
S (0.000, 0.000, 0.000)  -0.02
Ru (0.000, 0.500, 0.000)  0.66
Ru (0.000, 0.000, 0.500)  0.56
Ru (0.500, 0.000, 0.000)  0.83
Ag (0.500, 0.500, 0.500)  0.07



Which structure is most stable, and how do the rest compare? From most to least stable: *two*, *one*.



*one*
Ag3RuS: relaxed, GGA-PBE.

Fermi-level density of states = 4.83 states/eV/cell

abc: 5.062 5.062 5.062
angles: 90.00 90.00 90.00
Site moments in Bohr magnetons follow the coordinates.
Sites, in units of the cell vectors:
Ag (0.500, 0.000, 0.000)  0.01
Ag (0.000, 0.000, 0.500)  0.20
Ag (0.000, 0.500, 0.000)  0.09
Ru (0.000, 0.000, 0.000)  2.09
S (0.500, 0.500, 0.500)  0.35



*two*
Ag3RuS: relaxed, GGA-PBE.

Fermi-level density of states = 4.46 states/eV/cell

abc: 4.689 4.689 4.689
angles: 90.00 90.00 90.00
Site moments in Bohr magnetons follow the coordinates.
Sites, in units of the cell vectors:
Ag (0.000, 0.000, 0.500)  -0.03
Ag (0.500, 0.000, 0.000)  0.00
Ag (0.000, 0.500, 0.000)  -0.02
S (0.000, 0.000, 0.000)  0.01
Ru (0.500, 0.500, 0.500)  1.73



Which structure is most stable, and how do the rest compare? From most to least stable: *two*, *one*.



*one*
AgSbRu: relaxed, GGA-PBE.

Fermi-level density of states = 1.08 states/eV/cell

abc: 5.503 5.502 3.334
angles: 72.38 72.36 35.27
Sites, in units of the cell vectors:
Ag (0.997, 0.997, 0.003)
Ru (0.316, 0.316, 0.684)
Sb (0.687, 0.687, 0.313)



*two*
AgSbRu: relaxed, GGA-PBE.

Fermi-level density of states = 2.21 states/eV/cell

abc: 4.289 4.289 6.396
angles: 90.00 90.00 90.00
Sites, in units of the cell vectors:
Ag (0.500, 0.000, 0.180)
Ag (0.000, 0.500, 0.820)
Sb (0.500, 0.000, 0.743)
Sb (0.000, 0.500, 0.257)
Ru (0.500, 0.500, 0.500)
Ru (0.000, 0.000, 0.500)



Which structure is most stable, and how do the rest compare? From most to least stable: *two*, *one*.



*one*
AgSbRu: relaxed, GGA-PBE.

Fermi-level density of states = 1.90 states/eV/cell

abc: 4.446 4.446 3.291
angles: 90.00 90.00 120.00
Sites, in units of the cell vectors:
Sb (0.667, 0.333, 0.509)
Ru (0.333, 0.667, 0.493)
Ag (0.000, 0.000, 0.998)



*two*
AgSbRu: relaxed, GGA-PBE.

Fermi-level density of states = 3.72 states/eV/cell

abc: 3.145 3.145 6.753
angles: 90.00 90.00 120.00
Sites, in units of the cell vectors:
Sb (0.333, 0.667, 0.633)
Ag (0.000, 0.000, 0.017)
Ru (0.667, 0.333, 0.350)



Which structure is most stable, and how do the rest compare? From most to least stable: *one*, *two*.



*one*
Ag2Sb2Ru: relaxed, GGA-PBE.

Fermi-level density of states = 4.86 states/eV/cell

abc: 6.852 6.852 4.535
angles: 90.00 90.00 90.00
Sites, in units of the cell vectors:
Sb (0.351, 0.851, 0.000)
Sb (0.851, 0.649, 0.000)
Sb (0.649, 0.149, 0.000)
Sb (0.149, 0.351, 0.000)
Ag (0.836, 0.336, 0.500)
Ag (0.164, 0.664, 0.500)
Ag (0.664, 0.836, 0.500)
Ag (0.336, 0.164, 0.500)
Ru (0.000, 0.000, 0.000)
Ru (0.500, 0.500, 0.000)



*two*
Ag2Sb2Ru: relaxed, GGA-PBE.

Fermi-level density of states = 6.94 states/eV/cell

abc: 4.195 4.195 7.344
angles: 73.41 73.41 90.00
Site moments in Bohr magnetons follow the coordinates.
Sites, in units of the cell vectors:
Ru (0.000, 0.000, 0.000)  2.25
Ag (0.404, 0.404, 0.192)  0.01
Ag (0.596, 0.596, 0.808)  0.01
Sb (0.250, 0.750, 0.500)  0.02
Sb (0.750, 0.250, 0.500)  0.02



*three*
Ag2Sb2Ru: relaxed, GGA-PBE.

Fermi-level density of states = 9.89 states/eV/cell

abc: 7.376 7.376 3.790
angles: 90.00 90.00 90.00
Site moments in Bohr magnetons follow the coordinates.
Sites, in units of the cell vectors:
Ag (0.130, 0.370, 0.000)  0.00
Ag (0.370, 0.870, 0.000)  0.00
Ag (0.870, 0.630, 0.000)  0.00
Ag (0.630, 0.130, 0.000)  0.00
Ru (0.000, 0.000, 0.000)  0.80
Ru (0.500, 0.500, 0.000)  0.79
Sb (0.321, 0.179, 0.500)  -0.01
Sb (0.179, 0.679, 0.500)  -0.01
Sb (0.679, 0.821, 0.500)  -0.01
Sb (0.821, 0.321, 0.500)  -0.01



Which structure is most stable, and how do the rest compare? From most to least stable: *one*, *three*, *two*.



*one*
SrAgSb2Ru: relaxed, GGA-PBE.

Fermi-level density of states = 3.53 states/eV/cell

abc: 5.071 5.772 5.071
angles: 90.00 90.00 90.00
Sites, in units of the cell vectors:
Sr (0.000, 0.500, 0.000)
Ru (0.000, 0.000, 0.000)
Sb (0.500, 0.000, 0.000)
Sb (0.000, 0.000, 0.500)
Ag (0.500, 0.500, 0.500)



*two*
SrAgSb2Ru: relaxed, GGA-PBE.

Fermi-level density of states = 12.15 states/eV/cell

abc: 5.881 5.446 5.881
angles: 90.00 90.00 90.00
Site moments in Bohr magnetons follow the coordinates.
Sites, in units of the cell vectors:
Sr (0.000, 0.000, 0.000)  0.00
Ag (0.000, 0.500, 0.000)  -0.03
Sb (0.500, 0.000, 0.000)  -0.01
Sb (0.000, 0.000, 0.500)  -0.04
Ru (0.500, 0.500, 0.500)  2.60



Which structure is most stable, and how do the rest compare? From most to least stable: *one*, *two*.



*one*
ScAgRu: relaxed, GGA-PBE.

Fermi-level density of states = 2.10 states/eV/cell

abc: 4.534 4.534 2.899
angles: 90.00 90.00 120.00
Sites, in units of the cell vectors:
Ru (0.333, 0.667, 0.404)
Sc (0.667, 0.333, 0.602)
Ag (0.000, 0.000, 0.993)



*two*
ScAgRu: relaxed, GGA-PBE.

Fermi-level density of states = 6.46 states/eV/cell

abc: 4.426 4.426 4.426
angles: 60.00 60.00 60.00
Site moments in Bohr magnetons follow the coordinates.
Sites, in units of the cell vectors:
Ag (0.500, 0.500, 0.500)  0.01
Sc (0.000, 0.000, 0.000)  0.00
Ru (0.750, 0.750, 0.750)  0.06



Which structure is most stable, and how do the rest compare? From most to least stable: *one*, *two*.



*one*
ScAgRu: relaxed, GGA-PBE.

Fermi-level density of states = 1.40 states/eV/cell

abc: 3.050 3.050 6.708
angles: 90.00 90.00 120.00
Sites, in units of the cell vectors:
Ag (0.000, 0.000, 0.007)
Sc (0.333, 0.667, 0.637)
Ru (0.667, 0.333, 0.356)



*two*
ScAgRu: relaxed, GGA-PBE.

Fermi-level density of states = 2.18 states/eV/cell

abc: 5.323 5.319 5.319
angles: 143.67 143.69 52.30
Sites, in units of the cell vectors:
Ag (0.997, 0.996, 0.000)
Ru (0.320, 0.320, 0.000)
Sc (0.683, 0.683, 0.000)



Which structure is most stable, and how do the rest compare? From most to least stable: *two*, *one*.



*one*
ScAgRu: relaxed, GGA-PBE.

Fermi-level density of states = 3.01 states/eV/cell

abc: 6.932 6.740 2.923
angles: 81.35 74.01 24.64
Sites, in units of the cell vectors:
Ag (0.996, 0.996, 0.004)
Ru (0.323, 0.323, 0.677)
Sc (0.681, 0.681, 0.319)



*two*
ScAgRu: relaxed, GGA-PBE.

Fermi-level density of states = 2.63 states/eV/cell

abc: 4.386 4.386 4.386
angles: 60.00 60.00 60.00
Sites, in units of the cell vectors:
Sc (0.750, 0.750, 0.750)
Ru (0.500, 0.500, 0.500)
Ag (0.000, 0.000, 0.000)



Which structure is most stable, and how do the rest compare? From most to least stable: *one*, *two*.